## A
First-principles (GGA-PBEsol) data for a relaxed structure of MgTaIr2, as listed in Alexandria via LeMat-Bulk.

Geometry as POSCAR:
```
MgTaIr2
1.0
5.995 0.000 0.000
0.000 6.887 0.000
0.000 0.000 2.965
Mg Ta Ir
2 2 4
Direct
0.000 0.000 0.000
0.500 0.500 0.000
0.000 0.500 0.000
0.500 0.000 0.000
0.250 0.250 0.500
0.250 0.750 0.500
0.750 0.250 0.500
0.750 0.750 0.500
```

Computed properties:
Total magnetization, μB/cell: 0.000


## B
First-principles (GGA-PBEsol) data for a relaxed structure of MgTaIr2, as listed in Alexandria via LeMat-Bulk.

Geometry as POSCAR:
```
MgTaIr2
1.0
2.768 0.000 0.000
0.000 2.768 0.000
0.000 0.000 8.294
Mg Ta Ir
1 1 2
Direct
0.000 0.000 0.000
0.500 0.500 0.298
0.000 0.000 0.542
0.500 0.500 0.766
```

Computed properties:
Total magnetization, μB/cell: 0.001


Top of the stability list: A, leading by 464 meV per atom.


## A
First-principles (GGA-PBEsol) data for a relaxed structure of ReTc, as listed in Alexandria via LeMat-Bulk.

Geometry as POSCAR:
```
ReTc
1.0
6.135 0.000 0.000
0.000 6.135 0.000
0.000 0.000 6.135
Re Tc
8 8
Direct
0.125 0.125 0.125
0.125 0.625 0.625
0.375 0.375 0.875
0.375 0.875 0.375
0.625 0.125 0.625
0.625 0.625 0.125
0.875 0.375 0.375
0.875 0.875 0.875
0.125 0.125 0.625
0.125 0.625 0.125
0.375 0.375 0.375
0.375 0.875 0.875
0.625 0.125 0.125
0.625 0.625 0.625
0.875 0.375 0.875
0.875 0.875 0.375
```

Computed properties:
Total magnetization, μB/cell: 0.001


## B
First-principles (GGA-PBEsol) data for a relaxed structure of ReTc, as listed in Alexandria via LeMat-Bulk.

Geometry as POSCAR:
```
ReTc
1.0
4.403 0.000 0.000
0.000 2.735 0.000
0.000 0.000 4.744
Re Tc
2 2
Direct
0.250 0.000 0.166
0.750 0.000 0.834
0.250 0.500 0.667
0.750 0.500 0.333
```

Computed properties:
Total magnetization, μB/cell: 0.000


Top of the stability list: B, leading by 278 meV per atom.


## A
First-principles (GGA-PBEsol) data for a relaxed structure of KSb, as listed in Alexandria via LeMat-Bulk.

Geometry as POSCAR:
```
KSb
1.0
4.185 0.000 0.000
0.000 5.727 0.000
0.000 0.000 11.853
K Sb
4 4
Direct
0.000 0.250 0.112
0.000 0.750 0.888
0.500 0.250 0.388
0.500 0.750 0.612
0.000 0.250 0.667
0.000 0.750 0.333
0.500 0.250 0.833
0.500 0.750 0.167
```

Computed properties:
Total magnetization, μB/cell: 0.000


## B
First-principles (GGA-PBEsol) data for a relaxed structure of KSb, as listed in Alexandria via LeMat-Bulk.

Geometry as POSCAR:
```
KSb
1.0
10.239 0.000 0.000
0.000 4.444 0.000
0.000 0.000 6.602
K Sb
4 4
Direct
0.191 0.250 0.112
0.309 0.750 0.612
0.691 0.250 0.388
0.809 0.750 0.888
0.030 0.250 0.629
0.470 0.750 0.129
0.530 0.250 0.871
0.970 0.750 0.371
```

Computed properties:
Total magnetization, μB/cell: 0.000


Top of the stability list: B, leading by 10 meV per atom.


## A
First-principles (GGA-PBEsol) data for a relaxed structure of SrHg2Cl, as listed in Alexandria via LeMat-Bulk.

Geometry as POSCAR:
```
SrHg2Cl
1.0
4.377 0.000 0.000
-2.188 3.790 0.000
0.000 0.000 22.916
Sr Hg Cl
3 6 3
Direct
0.000 0.000 0.000
0.333 0.667 0.667
0.667 0.333 0.333
0.000 0.000 0.240
0.000 0.000 0.510
0.333 0.667 0.177
0.333 0.667 0.907
0.667 0.333 0.574
0.667 0.333 0.844
0.000 0.000 0.722
0.333 0.667 0.389
0.667 0.333 0.055
```

Computed properties:
Total magnetization, μB/cell: 0.000


## B
First-principles (GGA-PBEsol) data for a relaxed structure of SrHg2Cl, as listed in Alexandria via LeMat-Bulk.

Geometry as POSCAR:
```
SrHg2Cl
1.0
9.672 0.000 0.000
0.000 4.183 0.000
-2.065 0.000 5.519
Sr Hg Cl
2 4 2
Direct
0.000 0.000 0.000
0.500 0.500 0.000
0.255 0.500 0.397
0.489 0.000 0.522
0.755 0.000 0.397
0.989 0.500 0.522
0.285 0.000 0.939
0.785 0.500 0.939
```

Computed properties:
Total magnetization, μB/cell: 0.000


Top of the stability list: B, leading by 39 meV per atom.


## A
First-principles (GGA-PBEsol) data for a relaxed structure of Mg2TlPb, as listed in Alexandria via LeMat-Bulk.

Geometry as POSCAR:
```
Mg2TlPb
1.0
3.354 0.000 0.000
-1.677 2.905 0.000
0.000 0.000 31.807
Mg Tl Pb
6 3 3
Direct
0.000 0.000 0.000
0.000 0.000 0.254
0.333 0.667 0.667
0.333 0.667 0.921
0.667 0.333 0.333
0.667 0.333 0.588
0.000 0.000 0.748
0.333 0.667 0.414
0.667 0.333 0.081
0.000 0.000 0.505
0.333 0.667 0.171
0.667 0.333 0.838
```

Computed properties:
Total magnetization, μB/cell: 0.000


## B
First-principles (GGA-PBEsol) data for a relaxed structure of Mg2TlPb, as listed in Alexandria via LeMat-Bulk.

Geometry as POSCAR:
```
Mg2TlPb
1.0
3.641 0.000 0.000
0.000 3.641 0.000
0.000 0.000 7.378
Mg Tl Pb
2 1 1
Direct
0.000 0.000 0.240
0.000 0.000 0.760
0.500 0.500 0.000
0.500 0.500 0.500
```

Computed properties:
Total magnetization, μB/cell: 0.000


Top of the stability list: B, leading by 85 meV per atom.


## A
First-principles (GGA-PBEsol) data for a relaxed structure of LaY, as listed in Alexandria via LeMat-Bulk.

Geometry as POSCAR:
```
LaY
1.0
13.014 0.000 0.000
0.000 3.662 0.000
-2.853 0.000 5.503
La Y
4 4
Direct
0.125 0.000 0.301
0.375 0.500 0.699
0.625 0.500 0.301
0.875 0.000 0.699
0.128 0.500 0.801
0.372 0.000 0.199
0.628 0.000 0.801
0.872 0.500 0.199
```

Computed properties:
Total magnetization, μB/cell: 0.001


## B
First-principles (GGA-PBEsol) data for a relaxed structure of LaY, as listed in Alexandria via LeMat-Bulk.

Geometry as POSCAR:
```
LaY
1.0
3.623 0.000 0.000
0.000 3.623 0.000
0.000 0.000 4.937
La Y
1 1
Direct
0.000 0.000 0.000
0.500 0.500 0.500
```

Computed properties:
Total magnetization, μB/cell: 0.000


Top of the stability list: B, leading by 8 meV per atom.


## A
First-principles (GGA-PBEsol) data for a relaxed structure of Mg2CoMo, as listed in Alexandria via LeMat-Bulk.

Geometry as POSCAR:
```
Mg2CoMo
1.0
2.781 0.000 0.000
-1.390 2.408 0.000
0.000 0.000 27.548
Mg Co Mo
6 3 3
Direct
0.000 0.000 0.244
0.000 0.000 0.756
0.333 0.667 0.423
0.333 0.667 0.910
0.667 0.333 0.090
0.667 0.333 0.577
0.000 0.000 0.500
0.333 0.667 0.167
0.667 0.333 0.833
0.000 0.000 0.000
0.333 0.667 0.667
0.667 0.333 0.333
```

Computed properties:
Total magnetization, μB/cell: 4.192


## B
First-principles (GGA-PBEsol) data for a relaxed structure of Mg2CoMo, as listed in Alexandria via LeMat-Bulk.

Geometry as POSCAR:
```
Mg2CoMo
1.0
2.819 0.000 0.000
0.000 4.553 0.000
0.000 0.000 9.381
Mg Co Mo
4 2 2
Direct
0.000 0.000 0.223
0.000 0.000 0.777
0.500 0.500 0.277
0.500 0.500 0.723
0.000 0.500 0.500
0.500 0.000 0.000
0.000 0.500 0.000
0.500 0.000 0.500
```

Computed properties:
Total magnetization, μB/cell: 1.945


Top of the stability list: B, leading by 37 meV per atom.


## A
First-principles (GGA-PBEsol) data for a relaxed structure of YCo2Cl, as listed in Alexandria via LeMat-Bulk.

Geometry as POSCAR:
```
YCo2Cl
1.0
3.577 0.000 0.000
0.000 3.577 0.000
0.000 0.000 5.157
Y Co Cl
1 2 1
Direct
0.000 0.000 0.000
0.000 0.500 0.500
0.500 0.000 0.500
0.500 0.500 0.000
```

Computed properties:
Total magnetization, μB/cell: 2.810


## B
First-principles (GGA-PBEsol) data for a relaxed structure of YCo2Cl, as listed in Alexandria via LeMat-Bulk.

Geometry as POSCAR:
```
YCo2Cl
1.0
3.732 0.000 0.000
-1.866 3.232 0.000
0.000 0.000 6.279
Y Co Cl
1 2 1
Direct
0.000 0.000 0.000
0.333 0.667 0.341
0.667 0.333 0.260
0.333 0.667 0.712
```

Computed properties:
Total magnetization, μB/cell: 2.457


Top of the stability list: B, leading by 394 meV per atom.


## A
First-principles (GGA-PBEsol) data for a relaxed structure of Sc5Tl, as listed in Alexandria via LeMat-Bulk.

Geometry as POSCAR:
```
Sc5Tl
1.0
4.995 0.000 0.000
0.000 3.318 0.000
0.000 0.000 16.621
Sc Tl
10 2
Direct
0.000 0.000 0.000
0.000 0.000 0.323
0.000 0.000 0.662
0.000 0.500 0.162
0.000 0.500 0.500
0.000 0.500 0.823
0.500 0.000 0.111
0.500 0.000 0.447
0.500 0.500 0.611
0.500 0.500 0.947
0.500 0.000 0.774
0.500 0.500 0.274
```

Computed properties:
Total magnetization, μB/cell: 0.004


## B
First-principles (GGA-PBEsol) data for a relaxed structure of Sc5Tl, as listed in Alexandria via LeMat-Bulk.

Geometry as POSCAR:
```
Sc5Tl
1.0
11.605 0.000 0.000
0.000 3.260 0.000
-1.850 0.000 7.271
Sc Tl
10 2
Direct
0.000 0.000 0.000
0.040 0.000 0.611
0.148 0.500 0.338
0.321 0.000 0.672
0.374 0.000 0.271
0.500 0.500 0.000
0.540 0.500 0.611
0.648 0.000 0.338
0.821 0.500 0.672
0.874 0.500 0.271
0.217 0.500 0.950
0.717 0.000 0.950
```

Computed properties:
Total magnetization, μB/cell: 0.009


Top of the stability list: B, leading by 10 meV per atom.


## A
First-principles (GGA-PBEsol) data for a relaxed structure of YRhBr2, as listed in Alexandria via LeMat-Bulk.

Geometry as POSCAR:
```
YRhBr2
1.0
6.263 0.000 0.000
0.000 6.480 0.000
0.000 0.000 8.843
Y Rh Br
4 4 8
Direct
0.000 0.000 0.000
0.000 0.500 0.500
0.500 0.000 0.500
0.500 0.500 0.000
0.000 0.000 0.500
0.000 0.500 0.000
0.500 0.000 0.000
0.500 0.500 0.500
0.000 0.250 0.250
0.000 0.250 0.750
0.000 0.750 0.250
0.000 0.750 0.750
0.500 0.250 0.250
0.500 0.250 0.750
0.500 0.750 0.250
0.500 0.750 0.750
```

Computed properties:
Total magnetization, μB/cell: 0.001


## B
First-principles (GGA-PBEsol) data for a relaxed structure of YRhBr2, as listed in Alexandria via LeMat-Bulk.

Geometry as POSCAR:
```
YRhBr2
1.0
3.804 0.000 0.000
-1.902 3.294 0.000
0.000 0.000 24.936
Y Rh Br
3 3 6
Direct
0.000 0.000 0.000
0.333 0.667 0.667
0.667 0.333 0.333
0.000 0.000 0.500
0.333 0.667 0.167
0.667 0.333 0.833
0.000 0.000 0.110
0.000 0.000 0.890
0.333 0.667 0.557
0.333 0.667 0.777
0.667 0.333 0.223
0.667 0.333 0.443
```

Computed properties:
Total magnetization, μB/cell: 5.347


Top of the stability list: A, leading by 451 meV per atom.


## A
First-principles (GGA-PBEsol) data for a relaxed structure of KBa2Sr, as listed in Alexandria via LeMat-Bulk.

Geometry as POSCAR:
```
KBa2Sr
1.0
4.686 0.000 0.000
0.000 6.992 0.000
0.000 0.000 14.346
K Ba Sr
2 4 2
Direct
0.000 0.000 0.000
0.500 0.500 0.000
0.000 0.500 0.262
0.000 0.500 0.738
0.500 0.000 0.262
0.500 0.000 0.738
0.000 0.000 0.500
0.500 0.500 0.500
```

Computed properties:
Total magnetization, μB/cell: 0.001


## B
First-principles (GGA-PBEsol) data for a relaxed structure of KBa2Sr, as listed in Alexandria via LeMat-Bulk.

Geometry as POSCAR:
```
KBa2Sr
1.0
4.927 0.000 0.000
0.000 4.927 0.000
0.000 0.000 9.768
K Ba Sr
1 2 1
Direct
0.000 0.000 0.000
0.000 0.000 0.488
0.500 0.500 0.732
0.500 0.500 0.255
```

Computed properties:
Total magnetization, μB/cell: 0.000


Top of the stability list: A, leading by 28 meV per atom.


## A
First-principles (GGA-PBEsol) data for a relaxed structure of Fe2SiBr, as listed in Alexandria via LeMat-Bulk.

Geometry as POSCAR:
```
Fe2SiBr
1.0
3.182 0.000 0.000
0.000 3.691 0.000
0.000 0.000 5.735
Fe Si Br
2 1 1
Direct
0.000 0.000 0.000
0.500 0.500 0.042
0.000 0.500 0.755
0.500 0.000 0.328
```

Computed properties:
Total magnetization, μB/cell: 3.590


## B
First-principles (GGA-PBEsol) data for a relaxed structure of Fe2SiBr, as listed in Alexandria via LeMat-Bulk.

Geometry as POSCAR:
```
Fe2SiBr
1.0
3.007 0.000 0.000
0.000 3.484 0.000
0.000 0.000 12.030
Fe Si Br
4 2 2
Direct
0.000 0.000 0.000
0.000 0.500 0.341
0.500 0.000 0.841
0.500 0.500 0.500
0.000 0.500 0.869
0.500 0.000 0.369
0.000 0.000 0.618
0.500 0.500 0.118
```

Computed properties:
Total magnetization, μB/cell: 8.450


Top of the stability list: B, leading by 116 meV per atom.


## A
First-principles (GGA-PBEsol) data for a relaxed structure of BeCr2Cd, as listed in Alexandria via LeMat-Bulk.

Geometry as POSCAR:
```
BeCr2Cd
1.0
3.832 0.000 0.000
0.000 3.832 0.000
0.000 0.000 7.279
Be Cr Cd
2 4 2
Direct
0.000 0.000 0.000
0.500 0.500 0.500
0.000 0.000 0.500
0.000 0.500 0.750
0.500 0.000 0.250
0.500 0.500 0.000
0.000 0.500 0.250
0.500 0.000 0.750
```

Computed properties:
Total magnetization, μB/cell: 0.121


## B
First-principles (GGA-PBEsol) data for a relaxed structure of BeCr2Cd, as listed in Alexandria via LeMat-Bulk.

Geometry as POSCAR:
```
BeCr2Cd
1.0
3.007 0.000 0.000
0.000 3.007 0.000
0.000 0.000 5.601
Be Cr Cd
1 2 1
Direct
0.000 0.000 0.000
0.500 0.500 0.175
0.500 0.500 0.825
0.000 0.000 0.500
```

Computed properties:
Total magnetization, μB/cell: 0.000


Top of the stability list: B, leading by 173 meV per atom.


## A
First-principles (GGA-PBEsol) data for a relaxed structure of GaSiH3, as listed in Alexandria via LeMat-Bulk.

Geometry as POSCAR:
```
GaSiH3
1.0
3.613 0.000 0.000
0.000 3.613 0.000
0.000 0.000 3.613
Ga Si H
1 1 3
Direct
0.000 0.000 0.000
0.500 0.500 0.500
0.000 0.000 0.500
0.000 0.500 0.000
0.500 0.000 0.000
```

Computed properties:
Total magnetization, μB/cell: 0.000


## B
First-principles (GGA-PBEsol) data for a relaxed structure of GaSiH3, as listed in Alexandria via LeMat-Bulk.

Geometry as POSCAR:
```
GaSiH3
1.0
3.576 0.000 0.000
0.000 3.576 0.000
0.000 0.000 3.576
Ga Si H
1 1 3
Direct
0.000 0.000 0.000
0.500 0.500 0.500
0.000 0.500 0.500
0.500 0.000 0.500
0.500 0.500 0.000
```

Computed properties:
Total magnetization, μB/cell: 0.000


Top of the stability list: B, leading by 251 meV per atom.


## A
First-principles (GGA-PBEsol) data for a relaxed structure of K2TaNi, as listed in Alexandria via LeMat-Bulk.

Geometry as POSCAR:
```
K2TaNi
1.0
7.049 0.000 0.000
0.000 7.049 0.000
0.000 0.000 7.049
K Ta Ni
8 4 4
Direct
0.000 0.000 0.000
0.000 0.500 0.500
0.250 0.250 0.250
0.250 0.750 0.750
0.500 0.000 0.500
0.500 0.500 0.000
0.750 0.250 0.750
0.750 0.750 0.250
0.000 0.000 0.500
0.000 0.500 0.000
0.500 0.000 0.000
0.500 0.500 0.500
0.250 0.250 0.750
0.250 0.750 0.250
0.750 0.250 0.250
0.750 0.750 0.750
```

Computed properties:
Total magnetization, μB/cell: 2.709


## B
First-principles (GGA-PBEsol) data for a relaxed structure of K2TaNi, as listed in Alexandria via LeMat-Bulk.

Geometry as POSCAR:
```
K2TaNi
1.0
3.274 0.000 0.000
0.000 3.274 0.000
0.000 0.000 10.724
K Ta Ni
2 1 1
Direct
0.000 0.000 0.000
0.500 0.500 0.406
0.500 0.500 0.726
0.000 0.000 0.643
```

Computed properties:
Total magnetization, μB/cell: 0.009


Top of the stability list: B, leading by 1038 meV per atom.